{"formula": "ZnGeSe3", "functional": "SCAN", "state": "single point on PBEsol structure", "magmom_total_mub_per_fu": 0.0, "e_form_raw_kj_per_mol_atoms": 49.6, "cell": [[4.915, 0.000, 0.000], [0.000, 4.915, 0.000], [0.000, 0.000, 4.915]], "species": ["Ge", "Zn", "Se", "Se", "Se"], "frac_coords": [[0.000, 0.000, 0.000], [0.500, 0.500, 0.500], [0.000, 0.500, 0.000], [0.000, 0.000, 0.500], [0.500, 0.000, 0.000]]}